Entry 1:
A plane-wave DFT calculation with PBE was carried out for a relaxed structure of PrHo2Mg3CdGa2.

Calculated values
* crystal system: orthorhombic
* total energy: -29.40 eV for the cell shown
* symmetry: Amm2, No. 38

a b c (Å): 4.5202 7.4453 7.4453
angles (deg): 120.91 90.00 90.00
With the nearest neighbours (Å) after each atom.
Positions (direct):
Pr1 0.0000 0.4305 0.4305  4 Ga 3.20, 1 Cd 3.23, 6 Mg 3.26-3.57
Ho1 0.0000 0.0030 0.5716  4 Ga 3.13, 1 Cd 3.17, 2 Mg 3.29
Ho2 0.0000 0.5716 0.0030  4 Ga 3.13, 1 Cd 3.17, 2 Mg 3.29
Mg1 0.5000 0.7511 0.7511  2 Ga 2.86, 2 Cd 2.86, 2 Mg 3.17
Mg2 0.5000 0.9994 0.2478  2 Ga 2.80-2.85, 2 Cd 2.94
Mg3 0.5000 0.2478 0.9994  2 Ga 2.80-2.85, 2 Cd 2.94
Cd1 0.0000 0.9903 0.9903  6 Mg 2.86-2.94, 2 Ho 3.17
Ga1 0.5000 0.6737 0.3327  3 Mg 2.80-2.86, 4 Ho 3.13
Ga2 0.5000 0.3327 0.6737  3 Mg 2.80-2.86, 4 Ho 3.13

---

Entry 2:
A plane-wave DFT calculation with PBE was carried out for a relaxed structure of SiNiHgIr.

Calculated values
* crystal system: cubic
* total energy: -17.93 eV for the cell shown
* symmetry: F-43m, No. 216

a b c (Å): 4.4210 4.4210 4.4210
angles (deg): 60.00 60.00 60.00
With the nearest neighbours (Å) after each atom.
Positions (direct):
Ni1 0.7500 0.7500 0.7500  4 Ir 2.71, 4 Si 2.71
Hg1 0.2500 0.2500 0.2500  4 Ir 2.71, 4 Si 2.71
Ir1 0.5000 0.5000 0.5000  4 Ni 2.71, 4 Hg 2.71
Si1 0.0000 0.0000 0.0000  4 Ni 2.71, 4 Hg 2.71

---

Entry 3:
A plane-wave DFT calculation with PBE was carried out for a relaxed structure of Pr3In3NiPdPt.

Calculated values
* crystal system: hexagonal
* total energy: -46.02 eV for the cell shown
* symmetry: P-6, No. 174

a b c (Å): 7.7407 7.7407 4.0292
angles (deg): 90.00 90.00 120.00
With the nearest neighbours (Å) after each atom.
Positions (direct):
In1 0.9974 0.2403 0.5000  2 Ni 2.75, 1 Pd 2.99, 1 Pt 3.01
In2 0.7597 0.7571 0.5000  2 Ni 2.75, 1 Pd 2.99, 1 Pt 3.01
In3 0.2429 0.0026 0.5000  2 Ni 2.75, 1 Pd 2.99, 1 Pt 3.01
Pr1 0.4079 0.4123 0.0000  2 Pt 3.07, 2 Pd 3.11, 1 Ni 3.17, 6 In 3.37-3.42
Pr2 0.0044 0.5921 0.0000  2 Pt 3.07, 2 Pd 3.11, 1 Ni 3.17, 6 In 3.37-3.42
Pr3 0.5877 0.9956 0.0000  2 Pt 3.07, 2 Pd 3.11, 1 Ni 3.17, 6 In 3.37-3.42
Pt1 0.3333 0.6667 0.5000  3 In 3.01, 6 Pr 3.07
Ni1 0.0000 0.0000 0.0000  6 In 2.75
Pd1 0.6667 0.3333 0.5000  3 In 2.99, 6 Pr 3.11

---

Entry 4:
A plane-wave DFT calculation with PBE was carried out for a relaxed structure of Pr3Si4Pt.

Calculated values
* crystal system: monoclinic
* total energy: -47.53 eV for the cell shown
* symmetry: Pm, No. 6

a b c (Å): 5.9130 3.9127 7.8411
angles (deg): 90.00 99.64 90.00
With the nearest neighbours (Å) after each atom.
Positions (direct):
Si1 0.9553 0.5000 0.0207  1 Pt 2.44, 2 Si 2.48
Si2 0.6106 0.5000 0.5161  2 Si 2.54, 1 Pt 2.58
Si3 0.3379 0.0000 0.4459  2 Pt 2.50, 2 Si 2.54
Si4 0.2096 0.0000 0.0068  2 Si 2.48, 2 Pt 2.69
Pr1 0.1308 0.5000 0.6702  7 Si 3.02-3.26
Pr2 0.8113 0.0000 0.2836  6 Si 3.05-3.26
Pr3 0.6477 0.0000 0.8122  6 Si 2.97-3.22
Pt1 0.2967 0.5000 0.2445  6 Si 2.44-2.69

---

Entry 5:
A plane-wave DFT calculation with PBE was carried out for a relaxed structure of Dy4BBr2Cl3.

Calculated values
* crystal system: monoclinic
* total energy: -49.57 eV for the cell shown
* symmetry: C2/m, No. 12

a b c (Å): 9.0897 9.0897 7.8690
angles (deg): 102.43 102.43 24.42
With the nearest neighbours (Å) after each atom.
Positions (direct):
Br1 0.1723 0.1723 0.8237  4 Dy 2.91-3.20
Br2 0.8277 0.8277 0.1763  4 Dy 2.91-3.20
Cl1 0.5000 0.5000 0.5000  4 Dy 2.94
Cl2 0.1600 0.1600 0.3307  3 Dy 2.72-2.79
Cl3 0.8400 0.8400 0.6693  3 Dy 2.72-2.79
Dy1 0.6431 0.6431 0.0798  1 B 2.48, 2 Cl 2.72
Dy2 0.0002 0.0002 0.7831  2 B 2.57, 1 Cl 2.79
Dy3 0.3569 0.3569 0.9202  1 B 2.48, 2 Cl 2.72
Dy4 0.9998 0.9998 0.2169  2 B 2.57, 1 Cl 2.79
B1 0.5000 0.5000 0.0000  6 Dy 2.48-2.57

---

Entry 6:
A plane-wave DFT calculation with PBE was carried out for a relaxed structure of Dy3Se2NO.

Calculated values
* crystal system: monoclinic
* total energy: -100.20 eV for the cell shown
* symmetry: C2/m, No. 12

a b c (Å): 7.9772 7.9772 9.6659
angles (deg): 97.13 97.13 28.26
With the nearest neighbours (Å) after each atom.
Positions (direct):
Dy1 0.3919 0.3919 0.0551  2 O 2.27-2.31, 2 N 2.33
Dy2 0.6081 0.6081 0.9449  2 O 2.27-2.31, 2 N 2.33
Dy3 0.8029 0.8029 0.3256  1 N 2.16
Dy4 0.0443 0.0443 0.2606  1 N 2.21, 2 O 2.27
Dy5 0.9557 0.9557 0.7394  1 N 2.21, 2 O 2.27
Dy6 0.1971 0.1971 0.6744  1 N 2.16
O1 0.4643 0.4643 0.8605  4 Dy 2.27-2.31
O2 0.5357 0.5357 0.1395  4 Dy 2.27-2.31
Se1 0.2123 0.2123 0.1500  6 Dy 2.83-3.08
Se2 0.7877 0.7877 0.8500  6 Dy 2.83-3.08
Se3 0.3718 0.3718 0.5266  4 Dy 2.86-3.00
Se4 0.6282 0.6282 0.4734  4 Dy 2.86-3.00
N1 0.0975 0.0975 0.8118  4 Dy 2.16-2.33
N2 0.9025 0.9025 0.1882  4 Dy 2.16-2.33

---

Entry 7:
A plane-wave DFT calculation with PBE was carried out for a relaxed structure of LuNbPd2.

Calculated values
* formation energy from the elements: -298 meV/atom
* crystal system: cubic
* symmetry: F-43m, No. 216

a b c (Å): 4.6167 4.6167 4.6167
angles (deg): 60.00 60.00 60.00
With the nearest neighbours (Å) after each atom.
Positions (direct):
Pd1 0.2500 0.2500 0.2500  4 Pd 2.83, 4 Lu 2.83
Pd2 0.0000 0.0000 0.0000  4 Pd 2.83, 4 Nb 2.83
Lu1 0.5000 0.5000 0.5000  4 Pd 2.83, 4 Nb 2.83
Nb1 0.7500 0.7500 0.7500  4 Lu 2.83, 4 Pd 2.83

---

Entry 8:
A plane-wave DFT calculation with PBE was carried out for a relaxed structure of DyZnIr.

Calculated values
* formation energy from the elements: -478 meV/atom
* crystal system: cubic
* symmetry: F-43m, No. 216

a b c (Å): 4.5253 4.5253 4.5253
angles (deg): 60.00 60.00 60.00
With the nearest neighbours (Å) after each atom.
Positions (direct):
Dy1 0.7500 0.7500 0.7500  4 Ir 2.77
Zn1 0.2500 0.2500 0.2500  4 Ir 2.77
Ir1 0.0000 0.0000 0.0000  4 Dy 2.77, 4 Zn 2.77

---

Entry 9:
A plane-wave DFT calculation with PBE was carried out for a relaxed structure of Er2LuFe8Co.

Calculated values
* formation energy from the elements: -132 meV/atom
* crystal system: trigonal
* symmetry: R-3m, No. 166

a b c (Å): 8.5310 8.5310 8.5310
angles (deg): 34.22 34.22 34.22
With the nearest neighbours (Å) after each atom.
Positions (direct):
Fe1 0.6672 0.6672 0.6672  6 Fe 2.43-2.45
Fe2 0.5819 0.5819 0.0813  6 Fe 2.43-2.51, 1 Co 2.51
Fe3 0.3328 0.3328 0.3328  6 Fe 2.43-2.45
Fe4 0.4181 0.9187 0.4181  6 Fe 2.43-2.51, 1 Co 2.51
Fe5 0.4181 0.4181 0.9187  6 Fe 2.43-2.51, 1 Co 2.51
Fe6 0.0813 0.5819 0.5819  6 Fe 2.43-2.51, 1 Co 2.51
Fe7 0.9187 0.4181 0.4181  6 Fe 2.43-2.51, 1 Co 2.51
Fe8 0.5819 0.0813 0.5819  6 Fe 2.43-2.51, 1 Co 2.51
Co1 0.5000 0.5000 0.5000  6 Fe 2.51
Er1 0.1419 0.1419 0.1419  9 Fe 2.90-3.01, 3 Co 2.96, 3 Er 3.13
Er2 0.8581 0.8581 0.8581  9 Fe 2.90-3.01, 3 Co 2.96, 3 Er 3.13
Lu1 0.0000 0.0000 0.0000  18 Fe 2.90-3.19

---

Entry 10:
A plane-wave DFT calculation with PBE was carried out for a relaxed structure of AcNpIr.

Calculated values
* formation energy from the elements: 29 meV/atom
* crystal system: cubic
* symmetry: F-43m, No. 216

a b c (Å): 5.1732 5.1732 5.1732
angles (deg): 60.00 60.00 60.00
With the nearest neighbours (Å) after each atom.
Positions (direct):
Ir1 0.0000 0.0000 0.0000  4 Ac 3.17, 4 Np 3.17
Np1 0.2500 0.2500 0.2500  4 Ir 3.17
Ac1 0.7500 0.7500 0.7500  4 Ir 3.17